Entry 1:
A plane-wave DFT calculation with PBE was carried out for a geometry-optimized PuTa2O6 structure.

Cell lengths 5.4766, 5.4766, 7.3930 Å; angles 115.41, 115.41, 41.62 degrees
Fractional coordinates of all 9 atoms:
1 Pu 0.0000 0.0000 0.0000
2 Ta 0.1759 0.1759 0.6152
3 Ta 0.8241 0.8241 0.3848
4 O 0.0196 0.0196 0.6877
5 O 0.2954 0.2954 0.4303
6 O 0.3429 0.3429 0.8761
7 O 0.6571 0.6571 0.1239
8 O 0.7046 0.7046 0.5697
9 O 0.9804 0.9804 0.3123

Uncorrected formation energy (meV per atom): -2811.9
Space-group type: C2/m
Total DFT energy (no corrections) (eV per atom): -10.344

=====

Entry 2:
A plane-wave DFT calculation with PBE was carried out for a geometry-optimized NaMgBeF5 structure.

Cell lengths 5.4436, 5.4436, 7.1957 Å; angles 104.37, 104.37, 105.12 degrees
Fractional coordinates of all 16 atoms:
1 Na 0.1650 0.8350 0.7500
2 Na 0.8350 0.1650 0.2500
3 Mg 0.5000 0.5000 0.0000
4 Mg 0.5000 0.5000 0.5000
5 Be 0.1810 0.8190 0.2500
6 Be 0.8190 0.1810 0.7500
7 F 0.1088 0.2474 0.9035
8 F 0.1856 0.6127 0.3695
9 F 0.2474 0.1088 0.4035
10 F 0.3873 0.8144 0.1305
11 F 0.4199 0.5801 0.7500
12 F 0.5801 0.4199 0.2500
13 F 0.6127 0.1856 0.8695
14 F 0.7526 0.8912 0.5965
15 F 0.8144 0.3873 0.6305
16 F 0.8912 0.7526 0.0965

Uncorrected formation energy (meV per atom): -3279.2
Space-group type: C2/c
Total DFT energy (no corrections) (eV per atom): -5.279

=====

Entry 3:
A plane-wave DFT calculation with PBE was carried out for a geometry-optimized PmDy6Y3Sc2 structure.

Cell lengths 6.0824, 6.0824, 11.6389 Å; angles 94.98, 94.98, 119.95 degrees
Fractional coordinates of all 12 atoms:
1 Pm 0.0000 0.0000 0.0000
2 Dy 0.0825 0.4184 0.2451
3 Dy 0.2538 0.2538 0.7550
4 Dy 0.4184 0.0825 0.2451
5 Dy 0.5816 0.9175 0.7549
6 Dy 0.7462 0.7462 0.2450
7 Dy 0.9175 0.5816 0.7549
8 Y 0.1672 0.8328 0.5000
9 Y 0.5000 0.5000 0.5000
10 Y 0.8328 0.1672 0.5000
11 Sc 0.3333 0.6667 0.0000
12 Sc 0.6667 0.3333 0.0000

Space-group type: C2/m
Calculated formation energy (meV/atom): 39
Total DFT energy (no corrections) (eV per atom): -5.329

=====

Entry 4:
A plane-wave DFT calculation with PBE was carried out for a geometry-optimized NaSr4Y3Te8 structure.

Cell lengths 9.1523, 9.1523, 9.1523 Å; angles 59.63, 59.63, 59.63 degrees
Fractional coordinates of all 16 atoms:
1 Na 0.0000 0.0000 0.0000
2 Sr 0.0000 0.0000 0.5000
3 Sr 0.0000 0.5000 0.0000
4 Sr 0.5000 0.0000 0.0000
5 Sr 0.5000 0.5000 0.5000
6 Y 0.0000 0.5000 0.5000
7 Y 0.5000 0.0000 0.5000
8 Y 0.5000 0.5000 0.0000
9 Te 0.2463 0.2463 0.7389
10 Te 0.2463 0.7389 0.2463
11 Te 0.2563 0.2563 0.2563
12 Te 0.2611 0.7537 0.7537
13 Te 0.7389 0.2463 0.2463
14 Te 0.7437 0.7437 0.7437
15 Te 0.7537 0.2611 0.7537
16 Te 0.7537 0.7537 0.2611

Uncorrected formation energy (meV per atom): -1513.5
Space-group type: R-3m
Total DFT energy (no corrections) (eV per atom): -4.799

=====

Entry 5:
A plane-wave DFT calculation with PBE was carried out for a geometry-optimized Zr2ScPb structure.

Cell lengths 3.2050, 3.2050, 9.3572 Å; angles 90.00, 90.00, 90.00 degrees
Fractional coordinates of all 4 atoms:
1 Zr 0.0000 0.0000 0.2460
2 Zr 0.0000 0.0000 0.7540
3 Sc 0.5000 0.5000 0.0000
4 Pb 0.5000 0.5000 0.5000

Space-group type: P4/mmm
Calculated formation energy (meV/atom): -32
Total DFT energy (no corrections) (eV per atom): -6.816

=====

Entry 6:
A plane-wave DFT calculation with PBE was carried out for a geometry-optimized P2IrAu structure.

Cell lengths 3.3620, 7.6513, 7.6513 Å; angles 22.05, 90.00, 90.00 degrees
Fractional coordinates of all 4 atoms:
1 P 0.0000 0.0000 0.0000
2 P 0.5000 0.2791 0.2791
3 Ir 0.5000 0.8987 0.8987
4 Au 0.0000 0.1602 0.1602

Space-group type: Amm2
Calculated formation energy (meV/atom): -25
Total DFT energy (no corrections) (eV per atom): -5.765

=====

Entry 7:
A plane-wave DFT calculation with PBE was carried out for a geometry-optimized Y3Bi structure.

Cell lengths 4.8823, 4.8823, 4.8823 Å; angles 90.00, 90.00, 90.00 degrees
Fractional coordinates of all 4 atoms:
1 Y 0.0000 0.0000 0.5000
2 Y 0.0000 0.5000 0.0000
3 Y 0.5000 0.0000 0.0000
4 Bi 0.5000 0.5000 0.5000

Space-group type: Pm-3m
Calculated formation energy (meV/atom): -334
Total DFT energy (no corrections) (eV per atom): -6.153

=====

Entry 8:
A plane-wave DFT calculation with PBE was carried out for a geometry-optimized Pd3WCl structure.

Cell lengths 4.8655, 4.8655, 4.8655 Å; angles 90.00, 90.00, 90.00 degrees
Fractional coordinates of all 5 atoms:
1 Pd 0.0000 0.0000 0.5000
2 Pd 0.0000 0.5000 0.0000
3 Pd 0.5000 0.0000 0.0000
4 W 0.0000 0.0000 0.0000
5 Cl 0.5000 0.5000 0.5000

Uncorrected formation energy (meV per atom): 1110.7
Space-group type: Pm-3m
Total DFT energy (no corrections) (eV per atom): -4.965

=====

Entry 9:
A plane-wave DFT calculation with PBE was carried out for a geometry-optimized Sr2LaGaW structure.

Cell lengths 5.7212, 5.7212, 5.1514 Å; angles 90.00, 90.00, 90.00 degrees
Fractional coordinates of all 5 atoms:
1 Sr 0.0000 0.5000 0.0000
2 Sr 0.5000 0.0000 0.0000
3 La 0.0000 0.0000 0.5000
4 Ga 0.5000 0.5000 0.5000
5 W 0.5000 0.5000 0.0000

Space-group type: P4/mmm
Calculated formation energy (meV/atom): 851
Total DFT energy (no corrections) (eV per atom): -4.003

=====

Entry 10:
A plane-wave DFT calculation with PBE was carried out for a geometry-optimized CsPtF2 structure.

Cell lengths 5.9201, 5.9201, 5.9201 Å; angles 40.14, 40.14, 40.14 degrees
Fractional coordinates of all 4 atoms:
1 Cs 0.0000 0.0000 0.0000
2 Pt 0.5000 0.5000 0.5000
3 F 0.2120 0.2120 0.2120
4 F 0.7880 0.7880 0.7880

Uncorrected formation energy (meV per atom): -1019.8
Space-group type: R-3m
Total DFT energy (no corrections) (eV per atom): -3.679

=====

Entry 11:
A plane-wave DFT calculation with PBE was carried out for a geometry-optimized ReBPC structure.

Cell lengths 3.8532, 3.8532, 5.0558 Å; angles 100.37, 100.37, 43.01 degrees
Fractional coordinates of all 4 atoms:
1 Re 0.0000 0.0000 0.0000
2 B 0.6839 0.6839 0.7417
3 P 0.5812 0.5812 0.3618
4 C 0.2584 0.2584 0.8751

Space-group type: Cm
Calculated formation energy (meV/atom): 375
Total DFT energy (no corrections) (eV per atom): -8.064

=====

Entry 12:
A plane-wave DFT calculation with PBE was carried out for a geometry-optimized Ac2GaRuRh structure.

Cell lengths 4.4642, 4.4642, 13.3290 Å; angles 90.00, 90.00, 90.00 degrees
Fractional coordinates of all 10 atoms:
1 Ac 0.2500 0.2500 0.1078
2 Ac 0.2500 0.2500 0.6661
3 Ac 0.7500 0.7500 0.3339
4 Ac 0.7500 0.7500 0.8922
5 Ga 0.2500 0.2500 0.4101
6 Ga 0.7500 0.7500 0.5899
7 Ru 0.2500 0.7500 0.5000
8 Ru 0.7500 0.2500 0.5000
9 Rh 0.2500 0.2500 0.8820
10 Rh 0.7500 0.7500 0.1180

Space-group type: P4/nmm
Calculated formation energy (meV/atom): -518
Total DFT energy (no corrections) (eV per atom): -6.093

=====

Number 1: DOS at the Fermi energy 1.05 states/eV/atom. Number 2: DOS at the Fermi energy 0.00 states/eV/atom. Number 3: DOS at the Fermi energy 1.44 states/eV/atom. Number 4: DOS at the Fermi energy 0.29 states/eV/atom. Number 5: DOS at the Fermi energy 1.53 states/eV/atom. Number 6: DOS at the Fermi energy 0.45 states/eV/atom. Number 7: DOS at the Fermi energy 1.64 states/eV/atom. Number 8: DOS at the Fermi energy 0.78 states/eV/atom. Number 9: DOS at the Fermi energy 1.75 states/eV/atom. Number 10: DOS at the Fermi energy 0.40 states/eV/atom. Number 11: DOS at the Fermi energy 0.44 states/eV/atom. Number 12: DOS at the Fermi energy 0.66 states/eV/atom.